Entry from Alexandria via LeMat-Bulk: an optimized crystal structure of Dy2ScAl2Rh5 (PBE).

Cell and atoms, written as CIF:
```
data_Dy2ScAl2Rh5
_chemical_formula_sum 'Dy4 Sc2 Al4 Rh10'
_space_group_name_H-M_alt 'P 1'
_space_group_IT_number 1
_space_group_name_Hall 'P 1'
_cell_length_a 10.041
_cell_length_b 10.041
_cell_length_c 3.435
_cell_angle_alpha 90.00
_cell_angle_beta 90.00
_cell_angle_gamma 90.00
loop_
_atom_site_label
_atom_site_fract_x
_atom_site_fract_y
_atom_site_fract_z
Dy1 0.174 0.326 0.000
Dy2 0.326 0.826 0.000
Dy3 0.674 0.174 0.000
Dy4 0.826 0.674 0.000
Sc1 0.000 0.000 0.000
Sc2 0.500 0.500 0.000
Al1 0.125 0.625 0.000
Al2 0.375 0.125 0.000
Al3 0.625 0.875 0.000
Al4 0.875 0.375 0.000
Rh1 0.000 0.500 0.500
Rh2 0.068 0.792 0.500
Rh3 0.208 0.068 0.500
Rh4 0.292 0.568 0.500
Rh5 0.432 0.292 0.500
Rh6 0.500 0.000 0.500
Rh7 0.568 0.708 0.500
Rh8 0.708 0.432 0.500
Rh9 0.792 0.932 0.500
Rh10 0.932 0.208 0.500
```

Output
Total moment, μB per formula unit: 0.00
ΔH_f (0 K), eV per atom: -0.92
Total energy, eV for the cell shown: -137.93
Space-group type: P4/mbm (127)